(1)
Au3Cl | meta-GGA SCAN | single point on PBEsol structure

Properties
N(E_F): 0.20 states/eV per atom
VASP energy: -53.8078 eV/atom
formation energy (no corrections): 54 meV/atom

Structure (POSCAR):
```
Au3Cl
1.0
3.267 0.000 0.000
0.000 3.456 0.000
-0.012 0.000 6.852
Au Cl
3 1
direct
0.000 0.000 0.000 Au
0.499 0.500 0.791 Au
0.501 0.500 0.209 Au
0.500 0.000 0.500 Cl
```

---

(2)
CoAuCl2 | meta-GGA SCAN | single point on PBEsol structure

Properties
N(E_F): 0.13 states/eV per atom
VASP energy: -25.8117 eV/atom
formation energy (no corrections): -207 meV/atom

Structure (POSCAR):
```
CoAuCl2
1.0
1.749 -2.780 0.000
1.749 2.780 0.000
0.000 0.000 7.818
Co Au Cl
1 1 2
direct
0.000 0.000 0.000 Co
0.500 0.500 0.227 Au
0.000 0.000 0.447 Cl
0.500 0.500 0.835 Cl
```

---

(3)
CoAuCl2 | meta-GGA SCAN | single point on PBEsol structure

Properties
N(E_F): 0.10 states/eV per atom
VASP energy: -25.6535 eV/atom
formation energy (no corrections): -49 meV/atom

Structure (POSCAR):
```
CoAuCl2
1.0
2.888 0.000 0.000
0.000 2.888 0.000
0.000 0.000 9.050
Co Au Cl
1 1 2
direct
0.000 0.000 0.000 Co
0.000 0.000 0.500 Au
0.500 0.500 0.163 Cl
0.500 0.500 0.837 Cl
```

---

(4)
CoAuCl2 | meta-GGA SCAN | single point on PBEsol structure

Properties
N(E_F): 0.69 states/eV per atom
VASP energy: -25.3434 eV/atom
formation energy (no corrections): 261 meV/atom

Structure (POSCAR):
```
CoAuCl2
1.0
1.423 0.821 10.687
-1.423 0.821 10.687
0.000 -1.643 10.687
Co Au Cl
1 1 2
direct
0.000 0.000 0.000 Co
0.500 0.500 0.500 Au
0.065 0.065 0.065 Cl
0.935 0.935 0.935 Cl
```